Computed, not measured: a relaxed structure of ScVF5 at the GGA+U level of DFT.

a b c (Å): 3.8745 6.6531 8.1146
angles (deg): 90.00 90.00 90.00
Closest atoms and distances in Å follow each position.
Space group Immm (No. 71)
Inequivalent atoms, fractional coordinates:
Sc: 0.0000 0.0000 0.0000 (multiplicity 2)  2 F 1.94
V: 0.0000 0.0000 0.5000 (multiplicity 2)  6 F 1.94-2.13
F: 0.0000 0.0000 0.2390 (multiplicity 4)  1 Sc 1.94, 1 V 2.12
F: 0.0000 0.3206 0.5000 (multiplicity 4)  1 V 2.13, 2 Sc 2.28, 1 F 2.39
F: 0.0000 0.5000 0.0000 (multiplicity 2)  2 V 1.94

Total DFT energy (no corrections)   -6.537 eV/atom